Computed, not measured: an optimized crystal structure of YHoCd at the GGA-PBE level of DFT.

Cell: 5.083 5.083 5.083 Å, 60.00 60.00 60.00°
Atoms (fractional coordinates):
Y  0.000  0.000  0.000
Ho  0.750  0.750  0.750
Cd  0.500  0.500  0.500

Output
- calculated formation energy (eV per formula unit) = 1.54

Computed, not measured: an optimized crystal structure of TlPd9 at the GGA-PBE level of DFT.

Cell: 2.842 2.842 49.338 Å, 90.00 90.00 90.00°
Atoms (fractional coordinates):
Tl  0.250  0.250  0.130
Tl  0.750  0.750  0.870
Pd  0.250  0.250  0.215
Pd  0.250  0.250  0.292
Pd  0.250  0.250  0.368
Pd  0.250  0.250  0.444
Pd  0.250  0.250  0.519
Pd  0.250  0.250  0.594
Pd  0.250  0.250  0.670
Pd  0.250  0.250  0.746
Pd  0.250  0.250  0.825
Pd  0.750  0.750  0.175
Pd  0.750  0.750  0.254
Pd  0.750  0.750  0.330
Pd  0.750  0.750  0.406
Pd  0.750  0.750  0.481
Pd  0.750  0.750  0.556
Pd  0.750  0.750  0.632
Pd  0.750  0.750  0.708
Pd  0.750  0.750  0.785

Output
- total energy (eV/atom) = -4.85

Computed, not measured: an optimized crystal structure of NaCoTc at the GGA-PBE level of DFT.

Cell: 4.074 4.074 4.074 Å, 60.00 60.00 60.00°
Atoms (fractional coordinates):
Na  0.000  0.000  0.000
Co  0.250  0.250  0.250
Tc  0.500  0.500  0.500

Output
- total energy (eV/atom) = -5.12

Computed, not measured: an optimized crystal structure of Mg2ZnPd at the GGA-PBE level of DFT.

Cell: 4.777 4.777 4.777 Å, 127.70 127.70 77.11°
Atoms (fractional coordinates):
Mg  0.250  0.750  0.500
Mg  0.750  0.250  0.500
Zn  0.000  0.000  0.000
Pd  0.500  0.500  0.000

Output
- total energy (eV/atom) = -2.80

Computed, not measured: an optimized crystal structure of LaGd2Cd3Ir2Pt at the GGA-PBE level of DFT.

Cell: 4.028 7.551 7.551 Å, 119.50 90.00 90.00°
Atoms (fractional coordinates):
La  0.000  0.000  0.000
Gd  0.000  0.411  0.821
Gd  0.000  0.821  0.411
Cd  0.500  0.159  0.417
Cd  0.500  0.417  0.159
Cd  0.500  0.664  0.664
Ir  0.500  0.082  0.746
Ir  0.500  0.746  0.082
Pt  0.000  0.417  0.417

Output
- calculated formation energy (eV per formula unit) = -5.94

Computed, not measured: an optimized crystal structure of ZnSb2Pd at the GGA-PBE level of DFT.

Cell: 4.961 4.961 4.961 Å, 60.00 60.00 60.00°
Atoms (fractional coordinates):
Zn  0.000  0.000  0.000
Sb  0.250  0.250  0.250
Sb  0.500  0.500  0.500
Pd  0.750  0.750  0.750

Output
- total energy (eV/atom) = -3.54

Computed, not measured: an optimized crystal structure of Na2Zr at the GGA-PBE level of DFT.

Cell: 5.980 5.980 9.500 Å, 90.00 90.00 120.00°
Atoms (fractional coordinates):
Na  0.000  0.000  0.000
Na  0.000  0.000  0.500
Na  0.174  0.347  0.250
Na  0.174  0.826  0.250
Na  0.347  0.174  0.750
Na  0.653  0.826  0.250
Na  0.826  0.174  0.750
Na  0.826  0.653  0.750
Zr  0.333  0.667  0.567
Zr  0.333  0.667  0.933
Zr  0.667  0.333  0.067
Zr  0.667  0.333  0.433

Output
- total energy (eV/atom) = -3.00

Computed, not measured: an optimized crystal structure of HfZr2Ni3As4Pd at the GGA-PBE level of DFT.

Cell: 6.494 3.849 7.406 Å, 90.00 90.73 90.00°
Atoms (fractional coordinates):
Hf  0.000  0.000  0.000
Zr  0.451  0.500  0.490
Zr  0.943  0.500  0.628
Ni  0.337  0.500  0.865
Ni  0.628  0.000  0.753
Ni  0.851  0.500  0.245
As  0.247  0.000  0.700
As  0.255  0.500  0.172
As  0.705  0.500  0.941
As  0.725  0.000  0.415
Pd  0.117  0.000  0.368

Output
- total energy (eV/atom) = -6.92

Computed, not measured: an optimized crystal structure of Sm4B2IBr4 at the GGA-PBE level of DFT.

Cell: 10.349 10.349 8.585 Å, 103.76 103.76 22.28°
Atoms (fractional coordinates):
Sm  0.002  0.002  0.195
Sm  0.340  0.340  0.900
Sm  0.660  0.660  0.100
Sm  0.998  0.998  0.805
B  0.460  0.460  0.978
B  0.540  0.540  0.022
I  0.500  0.500  0.500
Br  0.163  0.163  0.348
Br  0.171  0.171  0.852
Br  0.829  0.829  0.148
Br  0.837  0.837  0.652

Output
- total energy (eV/atom) = -4.88

Computed, not measured: an optimized crystal structure of LuAlCuOs at the GGA-PBE level of DFT.

Cell: 4.555 4.555 4.555 Å, 60.00 60.00 60.00°
Atoms (fractional coordinates):
Lu  0.000  0.000  0.000
Al  0.250  0.250  0.250
Cu  0.500  0.500  0.500
Os  0.750  0.750  0.750

Output
- total energy (eV/atom) = -5.65

Computed, not measured: an optimized crystal structure of Dy2HoAl3CuAg2 at the GGA-PBE level of DFT.

Cell: 4.053 7.261 7.261 Å, 119.96 90.00 90.00°
Atoms (fractional coordinates):
Dy  0.000  0.202  0.798
Dy  0.000  0.798  0.202
Ho  0.000  0.396  0.396
Al  0.500  0.025  0.025
Al  0.500  0.571  0.798
Al  0.500  0.798  0.571
Cu  0.000  0.798  0.798
Ag  0.500  0.133  0.464
Ag  0.500  0.464  0.133

Output
- total energy (eV/atom) = -4.26

Computed, not measured: an optimized crystal structure of La2SmNi6Pt3 at the GGA-PBE level of DFT.

Cell: 9.108 9.108 9.108 Å, 32.87 32.87 32.87°
Atoms (fractional coordinates):
La  0.138  0.138  0.138
La  0.862  0.862  0.862
Sm  0.000  0.000  0.000
Ni  0.079  0.584  0.584
Ni  0.416  0.416  0.921
Ni  0.416  0.921  0.416
Ni  0.584  0.079  0.584
Ni  0.584  0.584  0.079
Ni  0.921  0.416  0.416
Pt  0.333  0.333  0.333
Pt  0.500  0.500  0.500
Pt  0.667  0.667  0.667

Output
- calculated formation energy (eV per formula unit) = -6.85

Computed, not measured: an optimized crystal structure of LuZrNO at the GGA-PBE level of DFT.

Cell: 3.533 6.208 5.736 Å, 90.00 90.00 90.00°
Atoms (fractional coordinates):
Lu  0.000  0.174  0.000
Lu  0.000  0.826  0.500
Zr  0.500  0.363  0.457
Zr  0.500  0.637  0.957
N  0.000  0.170  0.407
N  0.000  0.830  0.907
O  0.500  0.290  0.835
O  0.500  0.710  0.335

Output
- total energy (eV/atom) = -8.51

Computed, not measured: an optimized crystal structure of Tm4TlGe4Pd2 at the GGA-PBE level of DFT.

Cell: 8.198 8.198 7.172 Å, 107.13 107.13 29.66°
Atoms (fractional coordinates):
Tm  0.086  0.086  0.381
Tm  0.157  0.157  0.921
Tm  0.843  0.843  0.079
Tm  0.914  0.914  0.619
Tl  0.500  0.500  0.000
Ge  0.309  0.309  0.766
Ge  0.437  0.437  0.343
Ge  0.563  0.563  0.657
Ge  0.691  0.691  0.234
Pd  0.280  0.280  0.374
Pd  0.720  0.720  0.626

Output
- total energy (eV/atom) = -5.26

Computed, not measured: an optimized crystal structure of BPtAu2 at the GGA-PBE level of DFT.

Cell: 4.416 4.416 4.416 Å, 60.00 60.00 60.00°
Atoms (fractional coordinates):
B  0.000  0.000  0.000
Pt  0.250  0.250  0.250
Au  0.500  0.500  0.500
Au  0.750  0.750  0.750

Output
- total energy (eV/atom) = -4.01

Computed, not measured: an optimized crystal structure of KBaDySe3 at the GGA-PBE level of DFT.

Cell: 10.644 10.644 12.264 Å, 90.00 90.00 156.39°
Atoms (fractional coordinates):
K  0.111  0.889  0.750
K  0.889  0.111  0.250
Ba  0.110  0.890  0.250
Ba  0.890  0.110  0.750
Dy  0.500  0.500  0.000
Dy  0.500  0.500  0.500
Se  0.093  0.907  0.501
Se  0.093  0.907  0.999
Se  0.496  0.504  0.750
Se  0.504  0.496  0.250
Se  0.907  0.093  0.001
Se  0.907  0.093  0.499

Output
- total energy (eV/atom) = -4.58

Computed, not measured: an optimized crystal structure of Y4Lu2Si3N3 at the GGA-PBE level of DFT.

Cell: 6.043 6.043 14.495 Å, 101.96 101.96 59.63°
Atoms (fractional coordinates):
Y  0.043  0.196  0.099
Y  0.137  0.302  0.401
Y  0.196  0.043  0.599
Y  0.302  0.137  0.901
Y  0.698  0.863  0.099
Y  0.804  0.957  0.401
Y  0.863  0.698  0.599
Y  0.957  0.804  0.901
Lu  0.354  0.535  0.087
Lu  0.465  0.646  0.413
Lu  0.535  0.354  0.587
Lu  0.646  0.465  0.913
Si  0.068  0.932  0.250
Si  0.284  0.474  0.751
Si  0.474  0.284  0.251
Si  0.526  0.716  0.749
Si  0.716  0.526  0.249
Si  0.932  0.068  0.750
N  0.000  0.500  0.000
N  0.173  0.664  0.499
N  0.336  0.827  0.001
N  0.500  0.000  0.500
N  0.664  0.173  0.999
N  0.827  0.336  0.501

Output
- total energy (eV/atom) = -7.45

Computed, not measured: an optimized crystal structure of NdAlNiPd at the GGA-PBE level of DFT.

Cell: 4.300 4.300 9.530 Å, 90.00 90.00 120.00°
Atoms (fractional coordinates):
Nd  0.333  0.667  0.239
Nd  0.667  0.333  0.761
Al  0.000  0.000  0.000
Al  0.000  0.000  0.500
Ni  0.333  0.667  0.946
Ni  0.667  0.333  0.054
Pd  0.333  0.667  0.573
Pd  0.667  0.333  0.427

Output
- total energy (eV/atom) = -5.50

Computed, not measured: an optimized crystal structure of HoHfNO at the GGA-PBE level of DFT.

Cell: 4.434 4.434 5.917 Å, 90.00 90.00 90.00°
Atoms (fractional coordinates):
Ho  0.250  0.750  0.000
Ho  0.750  0.250  0.000
Hf  0.250  0.250  0.461
Hf  0.750  0.750  0.539
N  0.250  0.250  0.124
N  0.750  0.750  0.876
O  0.250  0.750  0.500
O  0.750  0.250  0.500

Output
- total energy (eV/atom) = -8.82

Computed, not measured: an optimized crystal structure of YHfNiSb at the GGA-PBE level of DFT.

Cell: 4.882 4.882 4.882 Å, 60.00 60.00 60.00°
Atoms (fractional coordinates):
Y  0.000  0.000  0.000
Hf  0.250  0.250  0.250
Ni  0.750  0.750  0.750
Sb  0.500  0.500  0.500

Output
- total energy (eV/atom) = -6.38

Computed, not measured: an optimized crystal structure of FeI2 at the GGA-PBE level of DFT.

Cell: 4.005 4.005 28.447 Å, 90.00 90.00 120.00°
Atoms (fractional coordinates):
Fe  0.333  0.667  0.000
Fe  0.333  0.667  0.250
Fe  0.667  0.333  0.500
Fe  0.667  0.333  0.750
I  0.000  0.000  0.057
I  0.000  0.000  0.307
I  0.000  0.000  0.557
I  0.000  0.000  0.807
I  0.333  0.667  0.443
I  0.333  0.667  0.693
I  0.667  0.333  0.193
I  0.667  0.333  0.943

Output
- total energy (eV/atom) = -3.89

Computed, not measured: an optimized crystal structure of PmMgNp at the GGA-PBE level of DFT.

Cell: 5.266 5.266 5.266 Å, 60.00 60.00 60.00°
Atoms (fractional coordinates):
Pm  0.000  0.000  0.000
Mg  0.750  0.750  0.750
Np  0.500  0.500  0.500

Output
- total energy (eV/atom) = -5.41

Computed, not measured: an optimized crystal structure of HgBiNO at the GGA-PBE level of DFT.

Cell: 6.810 7.040 6.599 Å, 90.00 90.00 90.00°
Atoms (fractional coordinates):
Hg  0.245  0.119  0.000
Hg  0.255  0.119  0.500
Hg  0.745  0.881  0.000
Hg  0.755  0.881  0.500
Bi  0.127  0.636  0.215
Bi  0.373  0.636  0.715
Bi  0.627  0.364  0.215
Bi  0.873  0.364  0.715
N  0.063  0.117  0.748
N  0.437  0.117  0.248
N  0.563  0.883  0.748
N  0.937  0.883  0.248
O  0.018  0.554  0.917
O  0.482  0.554  0.417
O  0.518  0.446  0.917
O  0.982  0.446  0.417

Output
- total energy (eV/atom) = -4.34